A:
{
  "formula": "ZnFeBi",
  "functional": "PBE-GGA",
  "state": "relaxed",
  "lattice": [[6.826, 0.000, 0.000], [-3.413, 5.912, 0.000], [0.000, 0.000, 4.526]],
  "species": ["Zn", "Zn", "Zn", "Fe", "Fe", "Fe", "Bi", "Bi", "Bi"],
  "frac_coords": [[0.000, 0.414, 0.000], [0.414, 0.000, 0.000], [0.586, 0.586, 0.000], [0.000, 0.211, 0.500], [0.211, 0.000, 0.500], [0.789, 0.789, 0.500], [0.000, 0.000, 0.000], [0.333, 0.667, 0.500], [0.667, 0.333, 0.500]],
  "space_group": "P-62m (189)",
  "density_g_cm3": 9.01
}

=====

B:
{
  "formula": "ZnFeBi",
  "functional": "PBE-GGA",
  "state": "relaxed",
  "lattice": [[7.487, 0.000, 0.000], [-3.743, 6.484, 0.000], [0.000, 0.000, 3.733]],
  "species": ["Zn", "Zn", "Zn", "Fe", "Fe", "Fe", "Bi", "Bi", "Bi"],
  "frac_coords": [[0.000, 0.281, 0.000], [0.281, 0.000, 0.000], [0.719, 0.719, 0.000], [0.000, 0.626, 0.500], [0.374, 0.374, 0.500], [0.626, 0.000, 0.500], [0.000, 0.000, 0.500], [0.333, 0.667, 0.000], [0.667, 0.333, 0.000]],
  "space_group": "P-62m (189)",
  "density_g_cm3": 9.08
}

=====

C:
{
  "formula": "ZnFeBi",
  "functional": "PBE-GGA",
  "state": "relaxed",
  "lattice": [[6.474, 0.000, 0.000], [0.000, 6.474, 0.000], [0.000, 0.000, 6.474]],
  "species": ["Zn", "Zn", "Zn", "Zn", "Fe", "Fe", "Fe", "Fe", "Bi", "Bi", "Bi", "Bi"],
  "frac_coords": [[0.000, 0.000, 0.000], [0.000, 0.500, 0.500], [0.500, 0.000, 0.500], [0.500, 0.500, 0.000], [0.000, 0.000, 0.500], [0.000, 0.500, 0.000], [0.500, 0.000, 0.000], [0.500, 0.500, 0.500], [0.250, 0.250, 0.750], [0.250, 0.750, 0.250], [0.750, 0.250, 0.250], [0.750, 0.750, 0.750]],
  "space_group": "F-43m (216)",
  "density_g_cm3": 8.08
}

=====

So which one is most stable? That would be A, about 28.1 kJ/mol of atoms below the next structure.

=====

A:
{
  "formula": "Hf3Zr3GaBi2",
  "functional": "PBE-GGA",
  "state": "relaxed",
  "lattice": [[7.679, 0.000, 0.000], [-3.839, 6.650, 0.000], [0.000, 0.000, 3.973]],
  "species": ["Hf", "Hf", "Hf", "Zr", "Zr", "Zr", "Ga", "Bi", "Bi"],
  "frac_coords": [[0.000, 0.763, 0.000], [0.237, 0.237, 0.000], [0.763, 0.000, 0.000], [0.000, 0.393, 0.500], [0.393, 0.000, 0.500], [0.607, 0.607, 0.500], [0.000, 0.000, 0.500], [0.333, 0.667, 0.000], [0.667, 0.333, 0.000]],
  "space_group": "P-62m (189)",
  "density_g_cm3": 10.61
}

=====

B:
{
  "formula": "Hf3Zr3GaBi2",
  "functional": "PBE-GGA",
  "state": "relaxed",
  "lattice": [[7.726, 0.000, 0.000], [-3.863, 6.691, 0.000], [0.000, 0.000, 3.938]],
  "species": ["Hf", "Hf", "Hf", "Zr", "Zr", "Zr", "Ga", "Bi", "Bi"],
  "frac_coords": [[0.000, 0.390, 0.000], [0.390, 0.000, 0.000], [0.610, 0.610, 0.000], [0.000, 0.758, 0.500], [0.242, 0.242, 0.500], [0.758, 0.000, 0.500], [0.000, 0.000, 0.000], [0.333, 0.667, 0.500], [0.667, 0.333, 0.500]],
  "space_group": "P-62m (189)",
  "density_g_cm3": 10.58
}

=====

So which one is most stable? That would be A, about 7.9 kJ/mol of atoms below the next structure.

=====

A:
{
  "formula": "NaGaBiIr",
  "functional": "PBE-GGA",
  "state": "relaxed",
  "lattice": [[6.730, 0.000, 0.000], [0.000, 6.730, 0.000], [0.000, 0.000, 6.730]],
  "species": ["Na", "Na", "Na", "Na", "Ga", "Ga", "Ga", "Ga", "Bi", "Bi", "Bi", "Bi", "Ir", "Ir", "Ir", "Ir"],
  "frac_coords": [[0.000, 0.000, 0.000], [0.000, 0.500, 0.500], [0.500, 0.000, 0.500], [0.500, 0.500, 0.000], [0.250, 0.250, 0.750], [0.250, 0.750, 0.250], [0.750, 0.250, 0.250], [0.750, 0.750, 0.750], [0.250, 0.250, 0.250], [0.250, 0.750, 0.750], [0.750, 0.250, 0.750], [0.750, 0.750, 0.250], [0.000, 0.000, 0.500], [0.000, 0.500, 0.000], [0.500, 0.000, 0.000], [0.500, 0.500, 0.500]],
  "space_group": "F-43m (216)",
  "density_g_cm3": 10.76
}

=====

B:
{
  "formula": "NaGaBiIr",
  "functional": "PBE-GGA",
  "state": "relaxed",
  "lattice": [[6.904, 0.000, 0.000], [0.000, 6.904, 0.000], [0.000, 0.000, 6.904]],
  "species": ["Na", "Na", "Na", "Na", "Ga", "Ga", "Ga", "Ga", "Bi", "Bi", "Bi", "Bi", "Ir", "Ir", "Ir", "Ir"],
  "frac_coords": [[0.000, 0.000, 0.000], [0.000, 0.500, 0.500], [0.500, 0.000, 0.500], [0.500, 0.500, 0.000], [0.250, 0.250, 0.750], [0.250, 0.750, 0.250], [0.750, 0.250, 0.250], [0.750, 0.750, 0.750], [0.000, 0.000, 0.500], [0.000, 0.500, 0.000], [0.500, 0.000, 0.000], [0.500, 0.500, 0.500], [0.250, 0.250, 0.250], [0.250, 0.750, 0.750], [0.750, 0.250, 0.750], [0.750, 0.750, 0.250]],
  "space_group": "F-43m (216)",
  "density_g_cm3": 9.97
}

=====

So which one is most stable? That would be A, about 25.2 kJ/mol of atoms below the next structure.

=====

A:
{
  "formula": "PmGaBi",
  "functional": "PBE-GGA",
  "state": "relaxed",
  "lattice": [[7.124, 0.000, 0.000], [0.000, 7.124, 0.000], [0.000, 0.000, 7.124]],
  "species": ["Pm", "Pm", "Pm", "Pm", "Ga", "Ga", "Ga", "Ga", "Bi", "Bi", "Bi", "Bi"],
  "frac_coords": [[0.000, 0.000, 0.000], [0.000, 0.500, 0.500], [0.500, 0.000, 0.500], [0.500, 0.500, 0.000], [0.250, 0.250, 0.750], [0.250, 0.750, 0.250], [0.750, 0.250, 0.250], [0.750, 0.750, 0.750], [0.000, 0.000, 0.500], [0.000, 0.500, 0.000], [0.500, 0.000, 0.000], [0.500, 0.500, 0.500]],
  "space_group": "F-43m (216)",
  "density_g_cm3": 7.78
}

=====

B:
{
  "formula": "PmGaBi",
  "functional": "PBE-GGA",
  "state": "relaxed",
  "lattice": [[7.313, 0.000, 0.000], [0.000, 7.313, 0.000], [0.000, 0.000, 7.313]],
  "species": ["Pm", "Pm", "Pm", "Pm", "Ga", "Ga", "Ga", "Ga", "Bi", "Bi", "Bi", "Bi"],
  "frac_coords": [[0.000, 0.000, 0.000], [0.000, 0.500, 0.500], [0.500, 0.000, 0.500], [0.500, 0.500, 0.000], [0.250, 0.250, 0.250], [0.250, 0.750, 0.750], [0.750, 0.250, 0.750], [0.750, 0.750, 0.250], [0.250, 0.250, 0.750], [0.250, 0.750, 0.250], [0.750, 0.250, 0.250], [0.750, 0.750, 0.750]],
  "space_group": "F-43m (216)",
  "density_g_cm3": 7.20
}

=====

So which one is most stable? That would be A, about 10.7 kJ/mol of atoms below the next structure.